LaScSe3 | PBE | relaxed

* volume: 537 Å³/cell
* E_form (uncorrected): -1.766 eV per atom
* total moment: 0.00 μB/f.u.
* space-group type: No. 14

abc: 9.0546 6.6239 9.8184
angles: 90.00 114.19 90.00
Closest atoms and distances in Å follow each position.
Fractional coordinates of all 20 atoms:
La (0.1601, 0.2487, 0.1627)  5 Se 2.93-3.26
La (0.1601, 0.2513, 0.6627)  5 Se 2.93-3.26
La (0.8399, 0.7487, 0.3373)  5 Se 2.93-3.26
La (0.8399, 0.7513, 0.8373)  5 Se 2.93-3.26
Sc (0.4081, 0.7471, 0.3894)  6 Se 2.62-2.75
Sc (0.4081, 0.7529, 0.8894)  6 Se 2.62-2.75
Sc (0.5919, 0.2471, 0.1106)  6 Se 2.62-2.75
Sc (0.5919, 0.2529, 0.6106)  6 Se 2.62-2.75
Se (0.0940, 0.7094, 0.6858)  1 Sc 2.74
Se (0.0940, 0.7906, 0.1858)  1 Sc 2.74
Se (0.3021, 0.0832, 0.9667)  2 Sc 2.62-2.65, 1 La 2.93
Se (0.3021, 0.4168, 0.4667)  2 Sc 2.62-2.65, 1 La 2.93
Se (0.4428, 0.5736, 0.1493)  3 Sc 2.66-2.75
Se (0.4428, 0.9264, 0.6493)  3 Sc 2.66-2.75
Se (0.5572, 0.0736, 0.3507)  3 Sc 2.66-2.75
Se (0.5572, 0.4264, 0.8507)  3 Sc 2.66-2.75
Se (0.6979, 0.5832, 0.5333)  2 Sc 2.62-2.65, 1 La 2.93
Se (0.6979, 0.9168, 0.0333)  2 Sc 2.62-2.65, 1 La 2.93
Se (0.9060, 0.2094, 0.8142)  1 Sc 2.74
Se (0.9060, 0.2906, 0.3142)  1 Sc 2.74


LaScSe3 | PBE | relaxed

* volume: 134 Å³/cell
* E_form (uncorrected): -1.523 eV per atom
* total moment: 0.00 μB/f.u.
* space-group type: No. 221

abc: 5.1188 5.1188 5.1188
angles: 90.00 90.00 90.00
Closest atoms and distances in Å follow each position.
Fractional coordinates of all 5 atoms:
La (0.0000, 0.0000, 0.0000)  12 Se 3.62
Sc (0.5000, 0.5000, 0.5000)  6 Se 2.56
Se (0.0000, 0.5000, 0.5000)  2 Sc 2.56
Se (0.5000, 0.0000, 0.5000)  2 Sc 2.56
Se (0.5000, 0.5000, 0.0000)  2 Sc 2.56


LaScSe2 | PBE | relaxed

* volume: 104 Å³/cell
* E_form (uncorrected): -1.561 eV per atom
* total moment: 0.01 μB/f.u.
* space-group type: No. 47

abc: 3.7976 3.8631 7.0736
angles: 90.00 90.00 90.00
Closest atoms and distances in Å follow each position.
Fractional coordinates of all 4 atoms:
La (0.0000, 0.0000, 0.0000)  8 Se 3.17
Sc (0.0000, 0.5000, 0.5000)  4 Se 2.68
Se (0.5000, 0.5000, 0.2332)  2 Sc 2.68
Se (0.5000, 0.5000, 0.7668)  2 Sc 2.68


La2ScSe4 | PBE | relaxed

* volume: 194 Å³/cell
* E_form (uncorrected): -1.724 eV per atom
* total moment: 0.01 μB/f.u.
* space-group type: No. 139

abc: 8.4170 8.4170 8.4170
angles: 145.09 145.09 50.20
Closest atoms and distances in Å follow each position.
Fractional coordinates of all 7 atoms:
La (0.1316, 0.1316, 0.0000)  5 Se 2.89-3.22
La (0.8684, 0.8684, 0.0000)  5 Se 2.89-3.22
Sc (0.5000, 0.5000, 0.0000)  6 Se 2.52-2.73
Se (0.0000, 0.5000, 0.5000)  2 Sc 2.52
Se (0.3212, 0.3212, 0.0000)  1 Sc 2.73, 1 La 2.89
Se (0.5000, 0.0000, 0.5000)  2 Sc 2.52
Se (0.6788, 0.6788, 0.0000)  1 Sc 2.73, 1 La 2.89


LaScSe2 | PBE | relaxed

* volume: 98 Å³/cell
* E_form (uncorrected): -1.763 eV per atom
* total moment: 0.00 μB/f.u.
* space-group type: No. 160

abc: 7.4811 7.4811 7.4811
angles: 30.87 30.87 30.87
Closest atoms and distances in Å follow each position.
Fractional coordinates of all 4 atoms:
La (0.0000, 0.0000, 0.0000)  6 Se 3.01-3.11
Sc (0.8250, 0.8250, 0.8250)  6 Se 2.71-2.83
Se (0.2353, 0.2353, 0.2353)  3 Sc 2.83, 3 La 3.11
Se (0.4246, 0.4246, 0.4246)  3 Sc 2.71, 3 La 3.01


La2ScSe4 | PBE | relaxed

* volume: 401 Å³/cell
* E_form (uncorrected): -1.762 eV per atom
* total moment: 0.00 μB/f.u.
* space-group type: No. 11

abc: 7.2547 6.9777 8.2689
angles: 90.00 106.64 90.00
Closest atoms and distances in Å follow each position.
Fractional coordinates of all 14 atoms:
La (0.2137, 0.2500, 0.0564)  6 Se 3.08-3.11
La (0.2270, 0.2500, 0.5538)  6 Se 2.97-3.13
La (0.7730, 0.7500, 0.4462)  6 Se 2.97-3.13
La (0.7863, 0.7500, 0.9436)  6 Se 3.08-3.11
Sc (0.2624, 0.7500, 0.8154)  4 Se 2.51-2.59
Sc (0.7376, 0.2500, 0.1846)  4 Se 2.51-2.59
Se (0.0065, 0.5072, 0.2538)  1 Sc 2.59
Se (0.0065, 0.9928, 0.2538)  1 Sc 2.59
Se (0.4584, 0.7500, 0.6102)  1 Sc 2.51
Se (0.4639, 0.7500, 0.1196)  1 Sc 2.52
Se (0.5361, 0.2500, 0.8804)  1 Sc 2.52
Se (0.5416, 0.2500, 0.3898)  1 Sc 2.51
Se (0.9935, 0.0072, 0.7462)  1 Sc 2.59
Se (0.9935, 0.4928, 0.7462)  1 Sc 2.59


LaSc2Se4 | PBE | relaxed

* volume: 342 Å³/cell
* E_form (uncorrected): -1.823 eV per atom
* total moment: 0.00 μB/f.u.
* space-group type: No. 63

abc: 6.7103 6.7103 13.3855
angles: 90.00 90.00 145.40
Closest atoms and distances in Å follow each position.
Fractional coordinates of all 14 atoms:
La (0.1191, 0.8809, 0.7500)  6 Se 3.00-3.05
La (0.8809, 0.1191, 0.2500)  6 Se 3.00-3.05
Sc (0.3711, 0.6289, 0.5624)  6 Se 2.68-2.78
Sc (0.3711, 0.6289, 0.9376)  6 Se 2.68-2.78
Sc (0.6289, 0.3711, 0.0624)  6 Se 2.68-2.78
Sc (0.6289, 0.3711, 0.4376)  6 Se 2.68-2.78
Se (0.0000, 0.0000, 0.0000)  4 Sc 2.72
Se (0.0000, 0.0000, 0.5000)  4 Sc 2.72
Se (0.2690, 0.7310, 0.1154)  3 Sc 2.72-2.78
Se (0.2690, 0.7310, 0.3846)  3 Sc 2.72-2.78
Se (0.4447, 0.5553, 0.7500)  2 Sc 2.68, 2 La 3.00
Se (0.5553, 0.4447, 0.2500)  2 Sc 2.68, 2 La 3.00
Se (0.7310, 0.2690, 0.6154)  3 Sc 2.72-2.78
Se (0.7310, 0.2690, 0.8846)  3 Sc 2.72-2.78


LaScSe3 | PBE | relaxed

* volume: 179 Å³/cell
* E_form (uncorrected): -0.526 eV per atom
* total moment: 0.07 μB/f.u.
* space-group type: No. 221

abc: 5.6370 5.6370 5.6370
angles: 90.00 90.00 90.00
Closest atoms and distances in Å follow each position.
Fractional coordinates of all 5 atoms:
La (0.0000, 0.0000, 0.0000)  6 Se 2.82
Sc (0.5000, 0.5000, 0.5000)  12 Se 3.99
Se (0.0000, 0.0000, 0.5000)  2 La 2.82
Se (0.0000, 0.5000, 0.0000)  2 La 2.82
Se (0.5000, 0.0000, 0.0000)  2 La 2.82